No. 1
Density functional theory data (GGA-PBE) for crystalline TaCoTc3 at its relaxed geometry.

uncorrected energy = -7.956 eV/atom
relative energy among the computed polymorphs = 933 meV/atom
N(E_F) = 7.84 states/eV/cell

```
TaCoTc3
1.0
4.687 0.000 0.000
0.000 4.687 0.000
0.000 0.000 4.687
Co Tc Ta
1 3 1
Cartesian
2.343 2.343 2.343 Co
0.000 2.343 0.000 Tc
0.000 0.000 2.343 Tc
2.343 0.000 0.000 Tc
0.000 0.000 0.000 Ta
```



No. 2
Density functional theory data (GGA-PBE) for crystalline TaCoTc2 at its relaxed geometry.

uncorrected energy = -9.886 eV/atom
relative energy among the computed polymorphs = 96 meV/atom
N(E_F) = 4.57 states/eV/cell

```
TaCoTc2
1.0
4.256 0.000 0.000
0.000 2.698 -0.022
0.000 1.147 5.064
Ta Tc Co
1 2 1
Cartesian
2.128 2.806 3.729 Ta
0.000 2.549 0.019 Tc
2.128 0.909 1.250 Tc
0.000 2.201 2.544 Co
```



No. 3
Density functional theory data (GGA-PBE) for crystalline TaCo2Tc at its relaxed geometry.

uncorrected energy = -9.188 eV/atom
relative energy among the computed polymorphs = 65 meV/atom
N(E_F) = 3.21 states/eV/cell

```
TaCo2Tc
1.0
5.961 0.005 0.016
-2.377 3.877 -0.015
1.207 0.753 2.290
Co Tc Ta
2 1 1
Cartesian
0.000 0.000 0.000 Co
3.584 0.379 1.153 Co
1.792 1.941 0.001 Tc
-0.585 2.315 1.138 Ta
```



No. 4
Density functional theory data (GGA-PBE) for crystalline TaCo2Tc at its relaxed geometry.

uncorrected energy = -8.884 eV/atom
relative energy among the computed polymorphs = 369 meV/atom
N(E_F) = 5.15 states/eV/cell

```
TaCo2Tc
1.0
-5.539 -6.750 0.372
-4.433 -7.249 -2.043
-3.217 -8.124 0.207
Ta Co Tc
1 2 1
Cartesian
-3.297 -5.531 -0.366 Ta
-0.046 -0.077 -0.005 Co
-6.548 -10.985 -0.727 Co
-9.891 -16.593 -1.098 Tc
```



No. 5
Density functional theory data (GGA-PBE) for crystalline TaCoTc2 at its relaxed geometry.

uncorrected energy = -9.983 eV/atom
relative energy among the computed polymorphs = 0 meV/atom
N(E_F) = 5.26 states/eV/cell

```
TaCoTc2
1.0
-1.248 -1.468 -3.281
0.239 -3.470 1.462
-3.542 -3.184 2.772
Ta Tc Co
1 2 1
Cartesian
-1.771 -1.592 1.386 Ta
0.000 0.000 0.000 Tc
-0.504 -2.469 -0.910 Tc
-2.275 -4.061 0.476 Co
```



No. 6
Density functional theory data (GGA-PBE) for crystalline TaCo2Tc at its relaxed geometry.

uncorrected energy = -9.042 eV/atom
relative energy among the computed polymorphs = 212 meV/atom
N(E_F) = 8.78 states/eV/cell

```
TaCo2Tc
1.0
-3.833 -1.662 -0.843
-3.523 2.279 0.749
-2.303 1.497 -3.258
Ta Co Tc
1 2 1
Cartesian
-4.829 1.057 -1.676 Ta
-7.243 1.585 -2.514 Co
-2.414 0.528 -0.838 Co
0.000 0.000 0.000 Tc
```



No. 7
Density functional theory data (GGA-PBE) for crystalline TaCoTc2 at its relaxed geometry.

uncorrected energy = -9.423 eV/atom
relative energy among the computed polymorphs = 560 meV/atom
N(E_F) = 11.45 states/eV/cell

```
TaCoTc2
1.0
3.567 0.000 0.000
0.000 3.567 0.000
1.783 1.783 9.731
Co Ta Tc
2 2 4
Cartesian
1.783 3.567 4.866 Co
1.783 1.783 0.000 Co
0.000 0.000 0.000 Ta
3.567 1.783 4.866 Ta
4.458 4.418 7.298 Tc
0.932 2.675 2.433 Tc
2.675 2.715 7.298 Tc
2.635 0.892 2.433 Tc
```



No. 8
Density functional theory data (GGA-PBE) for crystalline Ta3CoTc at its relaxed geometry.

uncorrected energy = -9.727 eV/atom
relative energy among the computed polymorphs = 0 meV/atom
N(E_F) = 6.91 states/eV/cell

```
Ta3CoTc
1.0
4.521 0.000 0.000
0.000 4.521 0.000
0.000 0.000 4.521
Ta Co Tc
3 1 1
Cartesian
2.260 0.000 0.000 Ta
0.000 2.260 0.000 Ta
0.000 0.000 2.260 Ta
0.000 0.000 0.000 Co
2.260 2.260 2.260 Tc
```



No. 9
Density functional theory data (GGA-PBE) for crystalline TaCoTc2 at its relaxed geometry.

uncorrected energy = -9.877 eV/atom
relative energy among the computed polymorphs = 106 meV/atom
N(E_F) = 4.66 states/eV/cell

```
TaCoTc2
1.0
4.715 0.008 -0.015
3.880 2.679 -0.015
0.865 0.270 4.611
Ta Tc Co
1 2 1
Cartesian
2.304 0.720 1.237 Ta
7.177 2.243 3.441 Tc
0.881 0.275 4.507 Tc
4.695 1.467 2.298 Co
```



No. 10
Density functional theory data (GGA-PBE) for crystalline TaCo2Tc at its relaxed geometry.

uncorrected energy = -9.187 eV/atom
relative energy among the computed polymorphs = 66 meV/atom
N(E_F) = 4.73 states/eV/cell

```
TaCo2Tc
1.0
4.260 0.000 0.000
0.000 2.711 -0.007
0.000 0.011 4.579
Co Ta Tc
2 1 1
Cartesian
2.130 0.342 1.335 Co
0.000 0.350 4.346 Co
0.000 1.700 2.009 Ta
2.130 1.703 3.748 Tc
```



No. 11
Density functional theory data (GGA-PBE) for crystalline TaCoTc2 at its relaxed geometry.

uncorrected energy = -9.810 eV/atom
relative energy among the computed polymorphs = 172 meV/atom
N(E_F) = 4.35 states/eV/cell

```
TaCoTc2
1.0
4.716 0.003 0.000
-1.587 4.441 0.000
0.000 0.000 2.788
Tc Co Ta
2 1 1
Cartesian
0.000 0.000 0.000 Tc
1.565 2.222 0.000 Tc
2.358 0.002 1.394 Co
-0.793 2.221 1.394 Ta
```



No. 12
Density functional theory data (GGA-PBE) for crystalline TaCo2Tc at its relaxed geometry.

uncorrected energy = -9.138 eV/atom
relative energy among the computed polymorphs = 115 meV/atom
N(E_F) = 4.83 states/eV/cell

```
TaCo2Tc
1.0
-1.348 -2.108 1.868
-0.864 -1.662 -2.499
4.760 -2.833 0.239
Co Ta Tc
2 1 1
Cartesian
0.042 -2.568 -0.258 Co
0.000 0.000 0.000 Co
2.270 -1.351 0.114 Ta
2.617 -4.100 -0.128 Tc
```